[1]
A PBEsol-optimized structure of Ba2HgPt2. Source: Alexandria, functional SCAN.

DFT total energy (eV per atom): -58.22
Calculated volume (Å³/cell): 274.4

Cell lengths 7.9393, 7.9393, 4.3535 Å; angles 90.00, 90.00, 90.00 degrees
Sites, in units of the cell vectors:
Ba 0.1757 0.3243 0.0000
Ba 0.3243 0.8243 0.0000
Ba 0.6757 0.1757 0.0000
Ba 0.8243 0.6757 0.0000
Hg 0.0000 0.0000 0.5000
Hg 0.5000 0.5000 0.5000
Pt 0.1214 0.6214 0.5000
Pt 0.3786 0.1214 0.5000
Pt 0.6214 0.8786 0.5000
Pt 0.8786 0.3786 0.5000

[2]
A PBEsol-optimized structure of CaTa2Tl. Source: Alexandria, functional SCAN.

Excess energy over the best structure of this formula in the dataset (meV per atom): 53
DFT total energy (eV per atom): -53.21
Calculated volume (Å³/cell): 83.9

Cell lengths 6.1104, 6.1104, 2.9687 Å; angles 102.80, 102.80, 121.77 degrees
Sites, in units of the cell vectors:
Ca 0.0000 0.0000 0.0000
Ta 0.0000 0.5000 0.5000
Ta 0.5000 0.0000 0.5000
Tl 0.5000 0.5000 0.0000

Number 1: formation enthalpy at 0 K -0.692 eV/atom. Number 2: formation enthalpy at 0 K 0.590 eV/atom.